[1]
First-principles (PBE with a Hubbard U) data for an optimized crystal structure of FeMoPtF2, as listed in Alexandria.

Symmetry = P4/mmm, No. 123
N(E_F) = 1.250 states/eV per cell
Total moment = 7.41 μB/cell
Energy = -5.28 eV per atom
Crystal system = tetragonal

abc: 4.066 4.066 5.681
angles: 90.00 90.00 90.00
Fractional positions:
Fe (0.000, 0.000, 0.000)
Mo (0.500, 0.500, 0.500)
Pt (0.500, 0.500, 0.000)
F (0.000, 0.500, 0.500)
F (0.500, 0.000, 0.500)


[2]
First-principles (PBE with a Hubbard U) data for an optimized crystal structure of Fe2MoSF, as listed in Alexandria.

Symmetry = P4/mmm, No. 123
N(E_F) = 2.013 states/eV per cell
Total moment = 11.06 μB/cell
Energy = -4.52 eV per atom
Crystal system = tetragonal

abc: 4.077 4.077 5.646
angles: 90.00 90.00 90.00
Fractional positions:
Fe (0.000, 0.500, 0.000)
Fe (0.500, 0.000, 0.000)
Mo (0.000, 0.000, 0.500)
S (0.500, 0.500, 0.500)
F (0.000, 0.000, 0.000)


[3]
First-principles (PBE with a Hubbard U) data for an optimized crystal structure of FeSnMoF6, as listed in Alexandria.

Symmetry = P-31c, No. 163
N(E_F) = 6.590 states/eV per cell
Total moment = 11.98 μB/cell
Energy = -5.19 eV per atom
Crystal system = trigonal

abc: 5.710 5.710 10.287
angles: 90.00 90.00 120.00
Fractional positions:
Fe (0.333, 0.667, 0.250)
Fe (0.667, 0.333, 0.750)
Sn (0.000, 0.000, 0.000)
Sn (0.000, 0.000, 0.500)
Mo (0.333, 0.667, 0.750)
Mo (0.667, 0.333, 0.250)
F (0.023, 0.358, 0.636)
F (0.023, 0.665, 0.864)
F (0.335, 0.358, 0.864)
F (0.335, 0.977, 0.636)
F (0.358, 0.023, 0.136)
F (0.358, 0.335, 0.364)
F (0.642, 0.665, 0.636)
F (0.642, 0.977, 0.864)
F (0.665, 0.023, 0.364)
F (0.665, 0.642, 0.136)
F (0.977, 0.335, 0.136)
F (0.977, 0.642, 0.364)


[4]
First-principles (PBE with a Hubbard U) data for an optimized crystal structure of TlFeMoF6, as listed in Alexandria.

Symmetry = P-31c, No. 163
N(E_F) = 13.893 states/eV per cell
Total moment = 14.00 μB/cell
Energy = -5.18 eV per atom
Crystal system = trigonal

abc: 5.681 5.681 11.955
angles: 90.00 90.00 120.00
Fractional positions:
Tl (0.000, 0.000, 0.000)
Tl (0.000, 0.000, 0.500)
Fe (0.333, 0.667, 0.250)
Fe (0.667, 0.333, 0.750)
Mo (0.333, 0.667, 0.750)
Mo (0.667, 0.333, 0.250)
F (0.001, 0.370, 0.657)
F (0.001, 0.631, 0.843)
F (0.369, 0.370, 0.843)
F (0.369, 0.999, 0.657)
F (0.370, 0.001, 0.157)
F (0.370, 0.369, 0.343)
F (0.630, 0.631, 0.657)
F (0.630, 0.999, 0.843)
F (0.631, 0.001, 0.343)
F (0.631, 0.630, 0.157)
F (0.999, 0.369, 0.157)
F (0.999, 0.630, 0.343)


[5]
First-principles (PBE with a Hubbard U) data for an optimized crystal structure of Fe3NF9, as listed in Alexandria.

Symmetry = P6/mmm, No. 191
N(E_F) = 0.000 states/eV per cell
Total moment = 18.00 μB/cell
Energy = -5.10 eV per atom
Crystal system = hexagonal

abc: 7.562 7.562 3.907
angles: 90.00 90.00 120.00
Fractional positions:
Fe (0.000, 0.500, 0.000)
Fe (0.500, 0.000, 0.000)
Fe (0.500, 0.500, 0.000)
N (0.000, 0.000, 0.500)
F (0.000, 0.500, 0.500)
F (0.211, 0.423, 0.000)
F (0.211, 0.789, 0.000)
F (0.423, 0.211, 0.000)
F (0.500, 0.000, 0.500)
F (0.500, 0.500, 0.500)
F (0.577, 0.789, 0.000)
F (0.789, 0.211, 0.000)
F (0.789, 0.577, 0.000)


[6]
First-principles (PBE with a Hubbard U) data for an optimized crystal structure of FeN2F4, as listed in Alexandria.

Symmetry = P-1, No. 2
N(E_F) = 0.000 states/eV per cell
Total moment = 8.08 μB/cell
Energy = -4.53 eV per atom
Crystal system = triclinic

abc: 3.114 5.372 6.996
angles: 71.42 84.82 89.36
Fractional positions:
Fe (0.000, 0.000, 0.000)
N (0.205, 0.294, 0.396)
N (0.795, 0.706, 0.604)
F (0.072, 0.367, 0.206)
F (0.469, 0.869, 0.185)
F (0.531, 0.131, 0.815)
F (0.928, 0.633, 0.794)